Record 1
Density functional theory data (PBE) for MnIrSe2N after structural relaxation.

Computed properties:
Density ... 8.9 Mg/m³
Excess energy over the best structure of this formula in the dataset ... 3.94 kcal/mol of atoms
Formation energy from raw total energies ... 2.9 eV/f.u.
SG ... P4/mmm
Calculated volume ... 15.71 Å³/atom
Energy ... -30.4 eV per cell
Spin magnetization ... 1.3 μB per formula unit

a = 4.8252 Å, b = 4.8252 Å, c = 3.3731 Å
α = 90.00°, β = 90.00°, γ = 90.00°
With the nearest neighbours (Å) after each atom.
Fractional positions:
Ir (0.5000, 0.5000, 0.5000)  8 Se 2.94
Se (0.5000, 0.0000, 0.0000)  2 Mn 2.41
Se (0.0000, 0.5000, 0.0000)  2 Mn 2.41
N (0.0000, 0.0000, 0.5000)  2 Mn 1.69
Mn (0.0000, 0.0000, 0.0000)  2 N 1.69



Record 2
Density functional theory data (PBE) for MnIrSe2N after structural relaxation.

Computed properties:
Density ... 7.1 Mg/m³
Excess energy over the best structure of this formula in the dataset ... 0.00 kcal/mol of atoms
Formation energy from raw total energies ... 2.1 eV/f.u.
SG ... P4/mmm
Calculated volume ... 19.47 Å³/atom
Energy ... -31.3 eV per cell
Spin magnetization ... 4.8 μB per formula unit

a = 5.1638 Å, b = 5.1638 Å, c = 3.6504 Å
α = 90.00°, β = 90.00°, γ = 90.00°
With the nearest neighbours (Å) after each atom.
Fractional positions:
Se (0.5000, 0.0000, 0.0000)  2 Ir 2.58
Se (0.0000, 0.5000, 0.0000)  2 Ir 2.58
Ir (0.0000, 0.0000, 0.0000)  2 N 1.83
N (0.0000, 0.0000, 0.5000)  2 Ir 1.83
Mn (0.5000, 0.5000, 0.5000)  8 Se 3.16



Record 3
Density functional theory data (PBE) for TaMn2IrN after structural relaxation.

Computed properties:
Density ... 13.0 Mg/m³
Formation energy from raw total energies ... -2.2 eV/f.u.
SG ... P4/mmm
Calculated volume ... 12.70 Å³/atom
Energy ... -49.5 eV per cell
Spin magnetization ... 5.0 μB per formula unit

a = 3.8908 Å, b = 3.8908 Å, c = 4.1950 Å
α = 90.00°, β = 90.00°, γ = 90.00°
With the nearest neighbours (Å) after each atom.
Fractional positions:
Mn (0.0000, 0.5000, 0.0000)  2 N 1.95
Mn (0.5000, 0.0000, 0.0000)  2 N 1.95
Ir (0.5000, 0.5000, 0.5000)  4 Ta 2.75, 8 Mn 2.86
Ta (0.0000, 0.0000, 0.5000)  2 N 2.10
N (0.0000, 0.0000, 0.0000)  4 Mn 1.95, 2 Ta 2.10



Record 4
Density functional theory data (PBE) for Ta2MnIrN after structural relaxation.

Computed properties:
Density ... 15.1 Mg/m³
Formation energy from raw total energies ... -3.0 eV/f.u.
SG ... P4/mmm
Calculated volume ... 13.69 Å³/atom
Energy ... -53.1 eV per cell
Spin magnetization ... 1.9 μB per formula unit

a = 4.2142 Å, b = 4.2142 Å, c = 3.8550 Å
α = 90.00°, β = 90.00°, γ = 90.00°
With the nearest neighbours (Å) after each atom.
Fractional positions:
N (0.0000, 0.0000, 0.0000)  2 Mn 1.93, 4 Ta 2.11
Ir (0.5000, 0.5000, 0.5000)  8 Ta 2.86, 4 Mn 2.98
Ta (0.0000, 0.5000, 0.0000)  2 N 2.11
Ta (0.5000, 0.0000, 0.0000)  2 N 2.11
Mn (0.0000, 0.0000, 0.5000)  2 N 1.93



Record 5
Density functional theory data (PBE) for TiMn2IrN after structural relaxation.

Computed properties:
Density ... 10.4 Mg/m³
Formation energy from raw total energies ... -2.7 eV/f.u.
SG ... P4/mmm
Calculated volume ... 11.67 Å³/atom
Energy ... -46.2 eV per cell
Spin magnetization ... 2.2 μB per formula unit

a = 3.7790 Å, b = 3.7790 Å, c = 4.0846 Å
α = 90.00°, β = 90.00°, γ = 90.00°
With the nearest neighbours (Å) after each atom.
Fractional positions:
Ir (0.5000, 0.5000, 0.5000)  4 Ti 2.67, 8 Mn 2.78
N (0.0000, 0.0000, 0.0000)  4 Mn 1.89, 2 Ti 2.04
Mn (0.5000, 0.0000, 0.0000)  2 N 1.89
Mn (0.0000, 0.5000, 0.0000)  2 N 1.89
Ti (0.0000, 0.0000, 0.5000)  2 N 2.04



Record 6
Density functional theory data (PBE) for MnV2IrN after structural relaxation.

Computed properties:
Density ... 10.3 Mg/m³
Formation energy from raw total energies ... -3.0 eV/f.u.
SG ... P4/mmm
Calculated volume ... 11.69 Å³/atom
Energy ... -47.6 eV per cell
Spin magnetization ... 1.1 μB per formula unit

a = 3.9187 Å, b = 3.9187 Å, c = 3.8061 Å
α = 90.00°, β = 90.00°, γ = 90.00°
With the nearest neighbours (Å) after each atom.
Fractional positions:
V (0.0000, 0.5000, 0.0000)  2 N 1.96
V (0.5000, 0.0000, 0.0000)  2 N 1.96
Mn (0.0000, 0.0000, 0.5000)  2 N 1.90
Ir (0.5000, 0.5000, 0.5000)  8 V 2.73, 4 Mn 2.77
N (0.0000, 0.0000, 0.0000)  2 Mn 1.90, 4 V 1.96



Record 7
Density functional theory data (PBE) for Mn2IrWN after structural relaxation.

Computed properties:
Density ... 14.1 Mg/m³
Excess energy over the best structure of this formula in the dataset ... 0.00 kcal/mol of atoms
Formation energy from raw total energies ... -0.8 eV/f.u.
SG ... P4/mmm
Calculated volume ... 11.78 Å³/atom
Energy ... -49.3 eV per cell
Spin magnetization ... 0.4 μB per formula unit

a = 3.8147 Å, b = 3.8147 Å, c = 4.0471 Å
α = 90.00°, β = 90.00°, γ = 90.00°
With the nearest neighbours (Å) after each atom.
Fractional positions:
W (0.0000, 0.0000, 0.5000)  2 N 2.02
Mn (0.0000, 0.5000, 0.0000)  2 N 1.91
Mn (0.5000, 0.0000, 0.0000)  2 N 1.91
N (0.0000, 0.0000, 0.0000)  4 Mn 1.91, 2 W 2.02
Ir (0.5000, 0.5000, 0.5000)  4 W 2.70, 8 Mn 2.78



Record 8
Density functional theory data (PBE) for Mn2IrWN after structural relaxation.

Computed properties:
Density ... 7.5 Mg/m³
Excess energy over the best structure of this formula in the dataset ... 60.33 kcal/mol of atoms
Formation energy from raw total energies ... 12.2 eV/f.u.
SG ... P4/mmm
Calculated volume ... 22.03 Å³/atom
Energy ... -36.2 eV per cell
Spin magnetization ... 4.1 μB per formula unit

a = 4.8634 Å, b = 4.6579 Å, c = 4.8634 Å
α = 90.00°, β = 90.00°, γ = 90.00°
With the nearest neighbours (Å) after each atom.
Fractional positions:
N (0.5000, 0.5000, 0.5000)  8 Mn 3.37, 4 Ir 3.44
Mn (0.0000, 0.0000, 0.5000)  2 W 2.43
Mn (0.5000, 0.0000, 0.0000)  2 W 2.43
W (0.0000, 0.0000, 0.0000)  2 Ir 2.33, 4 Mn 2.43
Ir (0.0000, 0.5000, 0.0000)  2 W 2.33